# 1
## RbVRuO4 (PBE with a Hubbard U)

Data for crystalline RbVRuO4 at its relaxed geometry.

Cell and atoms, written as extended XYZ:
```
14
Lattice="5.307 0.000 -0.072 0.000 5.471 0.000 -2.187 0.000 7.367" Properties=species:S:1:pos:R:3 pbc="T T T"
Ru 3.262 4.103 3.326
Ru -0.142 1.368 3.969
O 3.820 0.095 4.898
O 3.820 2.641 4.898
O 1.595 4.103 4.351
O -0.700 2.830 2.397
O -0.700 5.376 2.397
O 1.285 1.368 5.703
O 1.525 1.368 2.945
O 1.834 4.103 1.592
Rb 1.373 1.368 0.281
Rb 1.747 4.103 7.014
V 0.558 4.103 2.840
V 2.562 1.368 4.455
```

space-group type: P2_1/m, No. 11
calculated total energy: -6.6029 eV per atom
spin magnetization: 0.000 μB per formula unit
calculated volume: 106.5 Å³/f.u.

***

# 2
## Rb2RuW3O12 (PBE with a Hubbard U)

Data for crystalline Rb2RuW3O12 at its relaxed geometry.

Cell and atoms, written as extended XYZ:
```
18
Lattice="-7.205 -0.497 -1.295 -4.460 -2.433 5.294 -4.591 4.684 3.289" Properties=species:S:1:pos:R:3 pbc="T T T"
O -7.894 -0.977 5.606
O -7.976 3.489 4.348
O -6.640 1.516 5.816
O -8.280 -1.735 2.940
O -12.396 -1.265 4.793
O -10.772 1.954 7.641
O -8.362 2.731 1.682
O -5.484 -0.200 -0.352
O -9.616 0.238 1.472
O -3.778 -1.403 3.740
O -12.477 3.157 3.548
O -3.860 3.019 2.495
Rb -10.282 1.109 4.610
Rb -5.974 0.645 2.678
W -3.603 -0.248 -0.647
W -2.230 -1.217 2.647
W -2.295 2.342 1.645
Ru 0.000 0.000 0.000
```

space-group type: R-3m, No. 166
calculated total energy: -6.9842 eV per atom
spin magnetization: 2.000 μB per formula unit
calculated volume: 282.6 Å³/f.u.